GGA+U Hg2MoAuO, relaxed; DOS at the Fermi energy = 4.26 states/eV per cell; uncorrected energy = -2.5683 eV per atom; magnetization = 5.0 μB/f.u.
1.0
-2.599 2.500 -4.361
-3.375 0.011 2.018
1.295 5.077 2.138
Au Hg Mo O
1 2 1 1
Direct
0.000 0.000 0.000
0.000 0.000 0.500
0.500 0.000 0.000
0.500 0.500 0.500
0.000 0.500 0.000